1.
The following is a DFT calculation (PBE) of a relaxed BC crystal.

Its formation energy from the elements is 0.42 eV per atom. The value obtained for the energy above the most stable polymorph in this dataset is 0.53 eV/f.u.

The space group is Cm (No. 8) and the conventional cell measures 9.068, 2.619 and 7.823 Å, with angles of 90.00, 115.37 and 90.00 degrees. The distinct sites, in fractional coordinates, are B at (0.000, 0.000, 0.000), B at (0.015, 0.000, 0.493), B at (0.050, 0.500, 0.884), B at (0.152, 0.000, 0.224), B at (0.320, 0.000, 0.625), B at (0.383, 0.000, 0.136), C at (0.021, 0.500, 0.353), C at (0.184, 0.000, 0.702), C at (0.184, 0.500, 0.811), C at (0.193, 0.500, 0.345), C at (0.329, 0.500, 0.016) and C at (0.351, 0.500, 0.531).



2.
The following is a DFT calculation (PBE) of a relaxed BC crystal.

Its formation energy from the elements is 0.45 eV per atom. The value obtained for the energy above the most stable polymorph in this dataset is 0.60 eV/f.u.

The space group is P3m1 (No. 156) and the conventional cell measures 2.6635, 2.6635 and 16.9411 Å, with angles of 90.00, 90.00 and 120.00 degrees. The distinct sites, in fractional coordinates, are B at (0.0000, 0.0000, 0.0000), B at (0.0000, 0.0000, 0.3800), B at (0.3333, 0.6667, 0.0997), B at (0.3333, 0.6667, 0.5177), B at (0.6667, 0.3333, 0.1611), B at (0.6667, 0.3333, 0.7660), C at (0.0000, 0.0000, 0.2837), C at (0.0000, 0.0000, 0.7661), C at (0.3333, 0.6667, 0.0075), C at (0.3333, 0.6667, 0.4159), C at (0.6667, 0.3333, 0.2532) and C at (0.6667, 0.3333, 0.5278).